[1]
Entry from Alexandria via LeMat-Bulk: a geometry-optimized TaI3F structure (PBE-GGA).

Summary:
The density of states at the Fermi level is 0.66 states/eV per atom. As for the crystal system: cubic. As for the formation energy from raw total energies: -135.3 meV/atom.

Unit cell a=5.443 b=5.443 c=5.443 alpha=90.00 beta=90.00 gamma=90.00
Sites, in units of the cell vectors:
Ta: 0.000 0.000 0.000
I: 0.000 0.000 0.500
I: 0.000 0.500 0.000
I: 0.500 0.000 0.000
F: 0.500 0.500 0.500

[2]
Entry from Alexandria via LeMat-Bulk: a geometry-optimized ZnHgTe2 structure (PBE-GGA).

Summary:
The density of states at the Fermi level is 0.30 states/eV per atom. As for the crystal system: orthorhombic. As for the formation energy from raw total energies: 163.1 meV/atom.

Unit cell a=4.027 b=4.460 c=6.652 alpha=90.00 beta=90.00 gamma=90.00
Sites, in units of the cell vectors:
Zn: 0.000 0.000 0.000
Hg: 0.500 0.500 0.000
Te: 0.000 0.500 0.500
Te: 0.500 0.000 0.500

[3]
Entry from Alexandria via LeMat-Bulk: a geometry-optimized La2ZrZn structure (PBE-GGA).

Summary:
Its energy of formation is 122 meV per atom. The density of states at the Fermi level is 1.26 states/eV per atom. As for the crystal system: orthorhombic.

Unit cell a=6.800 b=6.800 c=6.800 alpha=148.82 beta=137.91 gamma=53.30
Sites, in units of the cell vectors:
La: 0.205 0.205 0.000
La: 0.795 0.795 0.000
Zr: 0.500 0.000 0.500
Zn: 0.000 0.500 0.500